<w>
A geometry-optimized PrGa4 structure, computed with PBE.

Computed properties:
SG	Pm-3m, No. 221

```
data_PrGa4
_cell_length_a 5.677
_cell_length_b 5.677
_cell_length_c 5.677
_cell_angle_alpha 90.00
_cell_angle_beta 90.00
_cell_angle_gamma 90.00
_symmetry_space_group_name_H-M 'P 1'
_symmetry_Int_Tables_number 1
_symmetry_space_group_name_Hall 'P 1'
loop_
_atom_site_label
_atom_site_type_symbol
_atom_site_fract_x
_atom_site_fract_y
_atom_site_fract_z
Ga1 Ga 0.000 0.000 0.000
Ga2 Ga 0.000 0.500 0.500
Ga3 Ga 0.500 0.500 0.000
Ga4 Ga 0.500 0.000 0.500
Pr1 Pr 0.500 0.500 0.500
```

---

<x>
A geometry-optimized PrGa4 structure, computed with PBE.

Computed properties:
SG	P4/mbm, No. 127

```
data_PrGa4
_cell_length_a 5.547
_cell_length_b 9.272
_cell_length_c 9.272
_cell_angle_alpha 90.00
_cell_angle_beta 90.00
_cell_angle_gamma 90.00
_symmetry_space_group_name_H-M 'P 1'
_symmetry_Int_Tables_number 1
_symmetry_space_group_name_Hall 'P 1'
loop_
_atom_site_label
_atom_site_type_symbol
_atom_site_fract_x
_atom_site_fract_y
_atom_site_fract_z
Ga1 Ga 0.213 0.500 0.500
Ga2 Ga 0.500 0.696 0.393
Ga3 Ga 0.500 0.393 0.304
Ga4 Ga 0.500 0.401 0.901
Ga5 Ga 0.787 0.000 0.000
Ga6 Ga 0.213 0.000 0.000
Ga7 Ga 0.500 0.607 0.696
Ga8 Ga 0.500 0.196 0.107
Ga9 Ga 0.500 0.599 0.099
Ga10 Ga 0.500 0.901 0.599
Ga11 Ga 0.500 0.107 0.804
Ga12 Ga 0.500 0.099 0.401
Ga13 Ga 0.500 0.804 0.893
Ga14 Ga 0.787 0.500 0.500
Ga15 Ga 0.500 0.893 0.196
Ga16 Ga 0.500 0.304 0.607
Pr1 Pr 0.000 0.347 0.153
Pr2 Pr 0.000 0.847 0.347
Pr3 Pr 0.000 0.153 0.653
Pr4 Pr 0.000 0.653 0.847
```

---

<y>
A geometry-optimized PrGa4 structure, computed with PBE.

Computed properties:
SG	Imma, No. 74

```
data_PrGa4
_cell_length_a 4.582
_cell_length_b 6.517
_cell_length_c 7.930
_cell_angle_alpha 114.26
_cell_angle_beta 106.79
_cell_angle_gamma 90.00
_symmetry_space_group_name_H-M 'P 1'
_symmetry_Int_Tables_number 1
_symmetry_space_group_name_Hall 'P 1'
loop_
_atom_site_label
_atom_site_type_symbol
_atom_site_fract_x
_atom_site_fract_y
_atom_site_fract_z
Ga1 Ga 0.301 0.349 0.602
Ga2 Ga 0.699 0.651 0.398
Ga3 Ga 0.890 0.640 0.779
Ga4 Ga 0.301 0.753 0.602
Ga5 Ga 0.500 0.000 0.000
Ga6 Ga 0.500 0.500 0.000
Ga7 Ga 0.699 0.247 0.398
Ga8 Ga 0.110 0.360 0.221
Pr1 Pr 0.884 0.134 0.768
Pr2 Pr 0.116 0.866 0.232
```

---

Winner for stability: <y>

---

<w>
A geometry-optimized PrGa3Pt structure, computed with PBE.

Computed properties:
SG	I-4m2, No. 119

```
data_PrGa3Pt
_cell_length_a 6.226
_cell_length_b 6.226
_cell_length_c 6.226
_cell_angle_alpha 140.32
_cell_angle_beta 140.32
_cell_angle_gamma 57.37
_symmetry_space_group_name_H-M 'P 1'
_symmetry_Int_Tables_number 1
_symmetry_space_group_name_Hall 'P 1'
loop_
_atom_site_label
_atom_site_type_symbol
_atom_site_fract_x
_atom_site_fract_y
_atom_site_fract_z
Pt1 Pt 0.250 0.750 0.500
Ga1 Ga 0.615 0.615 0.000
Ga2 Ga 0.385 0.385 0.000
Ga3 Ga 0.750 0.250 0.500
Pr1 Pr 0.000 0.000 0.000
```

---

<x>
A geometry-optimized PrGa3Pt structure, computed with PBE.

Computed properties:
SG	Pnma, No. 62

```
data_PrGa3Pt
_cell_length_a 4.340
_cell_length_b 8.414
_cell_length_c 11.003
_cell_angle_alpha 90.00
_cell_angle_beta 90.00
_cell_angle_gamma 90.00
_symmetry_space_group_name_H-M 'P 1'
_symmetry_Int_Tables_number 1
_symmetry_space_group_name_Hall 'P 1'
loop_
_atom_site_label
_atom_site_type_symbol
_atom_site_fract_x
_atom_site_fract_y
_atom_site_fract_z
Ga1 Ga 0.250 0.066 0.411
Ga2 Ga 0.250 0.858 0.218
Ga3 Ga 0.750 0.617 0.316
Ga4 Ga 0.750 0.117 0.184
Ga5 Ga 0.250 0.883 0.816
Ga6 Ga 0.750 0.142 0.782
Ga7 Ga 0.750 0.934 0.589
Ga8 Ga 0.250 0.383 0.684
Ga9 Ga 0.250 0.358 0.282
Ga10 Ga 0.750 0.434 0.911
Ga11 Ga 0.250 0.566 0.089
Ga12 Ga 0.750 0.642 0.718
Pr1 Pr 0.250 0.696 0.521
Pr2 Pr 0.750 0.304 0.479
Pr3 Pr 0.250 0.196 0.979
Pr4 Pr 0.750 0.804 0.021
Pt1 Pt 0.750 0.913 0.350
Pt2 Pt 0.250 0.087 0.650
Pt3 Pt 0.750 0.413 0.150
Pt4 Pt 0.250 0.587 0.850
```

---

<y>
A geometry-optimized PrGa3Pt structure, computed with PBE.

Computed properties:
SG	I4mm, No. 107

```
data_PrGa3Pt
_cell_length_a 4.366
_cell_length_b 4.366
_cell_length_c 6.114
_cell_angle_alpha 110.92
_cell_angle_beta 110.92
_cell_angle_gamma 90.00
_symmetry_space_group_name_H-M 'P 1'
_symmetry_Int_Tables_number 1
_symmetry_space_group_name_Hall 'P 1'
loop_
_atom_site_label
_atom_site_type_symbol
_atom_site_fract_x
_atom_site_fract_y
_atom_site_fract_z
Ga1 Ga 0.764 0.264 0.527
Ga2 Ga 0.264 0.764 0.527
Ga3 Ga 0.414 0.414 0.828
Pt1 Pt 0.647 0.647 0.293
Pr1 Pr 0.002 0.002 0.005
```

---

Winner for stability: <y>

---

<w>
A geometry-optimized PrYGaPt structure, computed with PBE.

Computed properties:
SG	F-43m, No. 216

```
data_PrYGaPt
_cell_length_a 5.123
_cell_length_b 5.123
_cell_length_c 5.123
_cell_angle_alpha 60.00
_cell_angle_beta 60.00
_cell_angle_gamma 60.00
_symmetry_space_group_name_H-M 'P 1'
_symmetry_Int_Tables_number 1
_symmetry_space_group_name_Hall 'P 1'
loop_
_atom_site_label
_atom_site_type_symbol
_atom_site_fract_x
_atom_site_fract_y
_atom_site_fract_z
Y1 Y 0.500 0.500 0.500
Pt1 Pt 0.750 0.750 0.750
Ga1 Ga 0.250 0.250 0.250
Pr1 Pr 0.000 0.000 0.000
```

---

<x>
A geometry-optimized PrYGaPt structure, computed with PBE.

Computed properties:
SG	Amm2, No. 38

```
data_PrYGaPt
_cell_length_a 3.937
_cell_length_b 4.382
_cell_length_c 5.997
_cell_angle_alpha 90.00
_cell_angle_beta 109.16
_cell_angle_gamma 90.00
_symmetry_space_group_name_H-M 'P 1'
_symmetry_Int_Tables_number 1
_symmetry_space_group_name_Hall 'P 1'
loop_
_atom_site_label
_atom_site_type_symbol
_atom_site_fract_x
_atom_site_fract_y
_atom_site_fract_z
Y1 Y 0.863 0.500 0.725
Ga1 Ga 0.569 0.500 0.139
Pt1 Pt 0.421 0.000 0.841
Pr1 Pr 0.147 0.000 0.295
```

---

Winner for stability: <x>

---

<w>
A geometry-optimized PrPuGa2 structure, computed with PBE.

Computed properties:
SG	P4/mmm, No. 123

```
data_PrPuGa2
_cell_length_a 3.383
_cell_length_b 3.383
_cell_length_c 8.394
_cell_angle_alpha 90.00
_cell_angle_beta 90.00
_cell_angle_gamma 90.00
_symmetry_space_group_name_H-M 'P 1'
_symmetry_Int_Tables_number 1
_symmetry_space_group_name_Hall 'P 1'
loop_
_atom_site_label
_atom_site_type_symbol
_atom_site_fract_x
_atom_site_fract_y
_atom_site_fract_z
Ga1 Ga 0.000 0.000 0.242
Ga2 Ga 0.000 0.000 0.758
Pr1 Pr 0.500 0.500 0.500
Pu1 Pu 0.500 0.500 0.000
```

---

<x>
A geometry-optimized PrPuGa2 structure, computed with PBE.

Computed properties:
SG	Fm-3m, No. 225

```
data_PrPuGa2
_cell_length_a 5.176
_cell_length_b 5.176
_cell_length_c 5.176
_cell_angle_alpha 60.00
_cell_angle_beta 60.00
_cell_angle_gamma 60.00
_symmetry_space_group_name_H-M 'P 1'
_symmetry_Int_Tables_number 1
_symmetry_space_group_name_Hall 'P 1'
loop_
_atom_site_label
_atom_site_type_symbol
_atom_site_fract_x
_atom_site_fract_y
_atom_site_fract_z
Ga1 Ga 0.750 0.750 0.750
Ga2 Ga 0.250 0.250 0.250
Pr1 Pr 0.500 0.500 0.500
Pu1 Pu 0.000 0.000 0.000
```

---

Winner for stability: <w>

---

<w>
A geometry-optimized Pr2PuGa structure, computed with PBE.

Computed properties:
SG	P4/mmm, No. 123

```
data_Pr2PuGa
_cell_length_a 4.561
_cell_length_b 4.936
_cell_length_c 4.936
_cell_angle_alpha 90.00
_cell_angle_beta 90.00
_cell_angle_gamma 90.00
_symmetry_space_group_name_H-M 'P 1'
_symmetry_Int_Tables_number 1
_symmetry_space_group_name_Hall 'P 1'
loop_
_atom_site_label
_atom_site_type_symbol
_atom_site_fract_x
_atom_site_fract_y
_atom_site_fract_z
Ga1 Ga 0.500 0.500 0.500
Pu1 Pu 0.500 0.000 0.000
Pr1 Pr 0.000 0.000 0.500
Pr2 Pr 0.000 0.500 0.000
```

---

<x>
A geometry-optimized Pr2PuGa structure, computed with PBE.

Computed properties:
SG	P4/mmm, No. 123

```
data_Pr2PuGa
_cell_length_a 3.680
_cell_length_b 3.680
_cell_length_c 8.623
_cell_angle_alpha 90.00
_cell_angle_beta 90.00
_cell_angle_gamma 90.00
_symmetry_space_group_name_H-M 'P 1'
_symmetry_Int_Tables_number 1
_symmetry_space_group_name_Hall 'P 1'
loop_
_atom_site_label
_atom_site_type_symbol
_atom_site_fract_x
_atom_site_fract_y
_atom_site_fract_z
Pu1 Pu 0.500 0.500 0.500
Pr1 Pr 0.000 0.000 0.784
Pr2 Pr 0.000 0.000 0.216
Ga1 Ga 0.500 0.500 0.000
```

---

Winner for stability: <x>